1.
{"formula": "Nd2FeSi3", "functional": "meta-GGA SCAN", "state": "single point on PBEsol structure", "formation_energy_uncorrected_ev_per_atom": -0.52, "space_group": "P-6m2, No. 187", "magnetic_moment_mub_per_fu": 3.04, "energy_ev_per_atom": -23.07, "lattice_angstrom": [[-3.509, -0.413, 1.937], [1.438, -3.030, -2.233], [4.021, -2.990, 6.647]], "species": ["Si", "Fe", "Si", "Nd", "Si", "Nd"], "frac_coords": [[0.000, 0.000, 0.500], [0.333, 0.667, 0.000], [0.000, 0.000, 0.000], [0.667, 0.333, 0.245], [0.333, 0.667, 0.500], [0.667, 0.333, 0.755]]}

2.
{"formula": "NdFeSi2", "functional": "meta-GGA SCAN", "state": "single point on PBEsol structure", "formation_energy_uncorrected_ev_per_atom": -0.60, "space_group": "Cmcm, No. 63", "magnetic_moment_mub_per_fu": 0.00, "energy_ev_per_atom": -21.03, "lattice_angstrom": [[-0.836, 3.743, -1.068], [-3.269, -1.300, -1.995], [-6.228, 0.296, 5.912]], "species": ["Fe", "Nd", "Fe", "Si", "Si", "Nd", "Si", "Si"], "frac_coords": [[0.750, 0.251, 0.499], [0.250, 0.107, 0.785], [0.250, 0.749, 0.501], [0.250, 0.462, 0.077], [0.750, 0.538, 0.923], [0.750, 0.893, 0.215], [0.250, 0.311, 0.378], [0.750, 0.689, 0.622]]}

3.
{"formula": "Nd4FeSn8", "functional": "meta-GGA SCAN", "state": "single point on PBEsol structure", "space_group": "Pmm2, No. 25", "magnetic_moment_mub_per_fu": 2.33, "formation_energy_mev_per_atom": -644, "energy_ev_per_atom": -37.55, "lattice_angstrom": [[-1.677, 0.691, -4.044], [1.446, -4.075, -1.296], [-14.371, -6.636, 4.826]], "species": ["Nd", "Fe", "Sn", "Sn", "Sn", "Sn", "Nd", "Sn", "Sn", "Sn", "Nd", "Sn", "Nd"], "frac_coords": [[0.500, 0.500, 0.396], [0.000, 0.000, 0.304], [0.500, 0.500, 0.060], [0.500, 0.500, 0.753], [0.000, 0.500, 0.935], [0.500, 0.000, 0.572], [0.500, 0.000, 0.901], [0.500, 0.000, 0.238], [0.000, 0.000, 0.752], [0.000, 0.000, 0.453], [0.000, 0.000, 0.097], [0.000, 0.500, 0.240], [0.000, 0.500, 0.603]]}

4.
{"formula": "FeNi3", "functional": "meta-GGA SCAN", "state": "single point on PBEsol structure", "space_group": "P4/mmm, No. 123", "magnetic_moment_mub_per_fu": 4.94, "formation_energy_mev_per_atom": -69, "energy_ev_per_atom": -16.73, "lattice_angstrom": [[2.452, 0.000, 0.000], [0.000, 2.452, 0.000], [0.000, 0.000, 7.005]], "species": ["Ni", "Ni", "Ni", "Fe"], "frac_coords": [[0.500, 0.500, 0.251], [0.500, 0.500, 0.749], [0.000, 0.000, 0.500], [0.000, 0.000, 0.000]]}

5.
{"formula": "FeNi3", "functional": "meta-GGA SCAN", "state": "single point on PBEsol structure", "space_group": "Pm-3m, No. 221", "magnetic_moment_mub_per_fu": 5.32, "formation_energy_mev_per_atom": -164, "energy_ev_per_atom": -16.83, "lattice_angstrom": [[3.484, 0.000, 0.000], [0.000, 3.484, 0.000], [0.000, 0.000, 3.484]], "species": ["Ni", "Ni", "Ni", "Fe"], "frac_coords": [[0.500, 0.500, 0.000], [0.500, 0.000, 0.500], [0.000, 0.500, 0.500], [0.000, 0.000, 0.000]]}

6.
{"formula": "FeNi3", "functional": "meta-GGA SCAN", "state": "single point on PBEsol structure", "space_group": "Pmmm, No. 47", "magnetic_moment_mub_per_fu": 4.99, "formation_energy_mev_per_atom": -103, "energy_ev_per_atom": -16.77, "lattice_angstrom": [[-0.429, -2.058, -1.260], [3.345, -0.105, -0.969], [1.077, -2.678, 4.007]], "species": ["Fe", "Ni", "Ni", "Ni"], "frac_coords": [[0.000, 0.000, 0.000], [0.500, 0.500, 0.747], [0.000, 0.000, 0.500], [0.500, 0.500, 0.253]]}